[1]
Ba2LiPtPb: relaxed, PBE.

Calculated values
Energy of formation from the pure elements, eV/atom: -0.451

a b c (Å): 6.191 6.191 4.762
angles (deg): 90.00 90.00 90.00
Fractional positions:
Pb 0.500 0.500 0.500
Ba 0.000 0.500 0.000
Ba 0.500 0.000 0.000
Pt 0.000 0.000 0.000
Li 0.000 0.000 0.500

---

[2]
Ba2LiPt3Pb4: relaxed, PBE.

Calculated values
Energy of formation from the pure elements, eV/atom: -0.510

a b c (Å): 4.922 4.922 11.098
angles (deg): 90.00 90.00 90.00
Fractional positions:
Ba 0.500 0.000 0.254
Ba 0.000 0.500 0.746
Li 0.500 0.500 0.500
Pt 0.000 0.000 0.500
Pt 0.500 0.000 0.871
Pt 0.000 0.500 0.129
Pb 0.500 0.500 0.000
Pb 0.000 0.000 0.000
Pb 0.500 0.000 0.622
Pb 0.000 0.500 0.378

---

[3]
BaLiPtPb: relaxed, PBE.

Calculated values
Energy of formation from the pure elements, eV/atom: -0.532

a b c (Å): 4.839 4.839 6.229
angles (deg): 112.79 90.00 119.99
Fractional positions:
Ba 0.622 0.244 0.508
Li 0.809 0.619 0.070
Pt 0.430 0.860 0.932
Pb 0.105 0.210 0.957

---

[4]
BaLiRhPb2: relaxed, PBE.

Calculated values
ΔE to the lowest computed polymorph, meV per atom: 47
Energy of formation from the pure elements, eV/atom: -0.265

a b c (Å): 5.316 5.316 5.101
angles (deg): 90.00 90.00 90.00
Fractional positions:
Pb 0.000 0.500 0.000
Pb 0.500 0.000 0.000
Rh 0.000 0.000 0.000
Ba 0.500 0.500 0.500
Li 0.000 0.000 0.500

---

[5]
BaLi2RhPb: relaxed, PBE.

Calculated values
Energy of formation from the pure elements, eV/atom: -0.208

a b c (Å): 5.079 5.079 5.210
angles (deg): 90.00 90.00 90.00
Fractional positions:
Pb 0.000 0.000 0.500
Rh 0.000 0.000 0.000
Ba 0.500 0.500 0.500
Li 0.000 0.500 0.000
Li 0.500 0.000 0.000

---

[6]
BaLiRhPb2: relaxed, PBE.

Calculated values
ΔE to the lowest computed polymorph, meV per atom: 0
Energy of formation from the pure elements, eV/atom: -0.313

a b c (Å): 4.831 4.831 6.759
angles (deg): 110.94 110.94 90.00
Fractional positions:
Ba 0.000 0.000 0.000
Li 0.250 0.750 0.500
Rh 0.750 0.250 0.500
Pb 0.638 0.638 0.277
Pb 0.362 0.362 0.723

---

Number 1: density of states at the Fermi level 2.5 states/eV/f.u.. Number 2: density of states at the Fermi level 6.1 states/eV/f.u.. Number 3: density of states at the Fermi level 3.4 states/eV/f.u.. Number 4: density of states at the Fermi level 3.7 states/eV/f.u.. Number 5: density of states at the Fermi level 2.9 states/eV/f.u.. Number 6: density of states at the Fermi level 5.6 states/eV/f.u..